1.
VASP calculation (GGA-PBE) on a relaxed structure of ScIrO. Values from VASP.

Size of the total moment in Bohr magnetons per cell: 0.0
Density of states at the Fermi level in states/eV per cell: 1.973
Energy relative to the elements, uncorrected in eV per atom: -1.67

```
&SYSTEM
  ibrav = 0, nat = 12, ntyp = 3
/
ATOMIC_SPECIES
Sc 44.96 Sc.upf
Ir 192.22 Ir.upf
O 16.00 O.upf
ATOMIC_POSITIONS crystal
Sc 0.500 0.855 0.367
Ir 0.000 0.055 0.402
O 0.000 0.791 0.155
O 0.000 0.209 0.655
O 0.500 0.291 0.155
Sc 0.000 0.645 0.867
Ir 0.500 0.445 0.902
Ir 0.000 0.945 0.902
O 0.500 0.709 0.655
Sc 0.500 0.145 0.867
Ir 0.500 0.555 0.402
Sc 0.000 0.355 0.367
CELL_PARAMETERS angstrom
-1.124 0.496 -3.266
-1.022 -11.786 -1.437
-3.989 0.175 1.400
```

=====

2.
VASP calculation (GGA-PBE) on a relaxed structure of BaLiAl2Ga4. Values from VASP.

Size of the total moment in Bohr magnetons per cell: 0.0
Density of states at the Fermi level in states/eV per cell: 2.516
Formation energy from the elements in kJ/mol of atoms: -23.15

```
&SYSTEM
  ibrav = 0, nat = 8, ntyp = 4
/
ATOMIC_SPECIES
Ba 137.33 Ba.upf
Ga 69.72 Ga.upf
Al 26.98 Al.upf
Li 6.94 Li.upf
ATOMIC_POSITIONS crystal
Ba 0.000 0.000 0.000
Ga 0.592 0.592 0.223
Al 0.232 0.232 0.305
Ga 0.408 0.408 0.777
Ga 0.867 0.867 0.400
Li 0.500 0.500 0.500
Ga 0.133 0.133 0.600
Al 0.768 0.768 0.695
CELL_PARAMETERS angstrom
4.556 0.000 0.000
2.278 3.946 0.000
2.278 1.315 9.541
```

=====

3.
VASP calculation (GGA-PBE) on a relaxed structure of BaMnIn2. Values from VASP.

Size of the total moment in Bohr magnetons per cell: 3.9
Density of states at the Fermi level in states/eV per cell: 2.376
Formation energy from the elements in kJ/mol of atoms: -1.58

```
&SYSTEM
  ibrav = 0, nat = 4, ntyp = 3
/
ATOMIC_SPECIES
In 114.82 In.upf
Ba 137.33 Ba.upf
Mn 54.94 Mn.upf
ATOMIC_POSITIONS crystal
In 0.000 0.000 0.436
In 0.000 0.000 0.064
Ba 0.500 0.500 0.750
Mn 0.500 0.500 0.250
CELL_PARAMETERS angstrom
3.641 0.000 0.000
0.000 3.645 0.000
0.000 0.000 8.161
```

=====

4.
VASP calculation (GGA-PBE) on a relaxed structure of MgZnNF2. Values from VASP.

Size of the total moment in Bohr magnetons per cell: 1.0
Density of states at the Fermi level in states/eV per cell: 1.901
Energy relative to the elements, uncorrected in eV per atom: -1.13

```
&SYSTEM
  ibrav = 0, nat = 5, ntyp = 4
/
ATOMIC_SPECIES
F 19.00 F.upf
Mg 24.30 Mg.upf
N 14.01 N.upf
Zn 65.41 Zn.upf
ATOMIC_POSITIONS crystal
F 0.000 0.500 0.000
Mg 0.000 0.000 0.000
N 0.000 0.000 0.500
F 0.500 0.000 0.000
Zn 0.500 0.500 0.500
CELL_PARAMETERS angstrom
3.656 0.000 0.000
0.000 3.656 0.000
0.000 0.000 4.827
```

=====

5.
VASP calculation (GGA-PBE) on a relaxed structure of TaNbReNi. Values from VASP.

Size of the total moment in Bohr magnetons per cell: 0.0
Density of states at the Fermi level in states/eV per cell: 4.909
Formation energy from the elements in kJ/mol of atoms: -15.91

```
&SYSTEM
  ibrav = 0, nat = 4, ntyp = 4
/
ATOMIC_SPECIES
Re 186.21 Re.upf
Nb 92.91 Nb.upf
Ta 180.95 Ta.upf
Ni 58.69 Ni.upf
ATOMIC_POSITIONS crystal
Re 0.750 0.750 0.750
Nb 0.000 0.000 0.000
Ta 0.500 0.500 0.500
Ni 0.250 0.250 0.250
CELL_PARAMETERS angstrom
-3.815 -2.134 -0.940
-0.273 -2.598 -3.629
-0.245 -4.442 0.444
```

=====

6.
VASP calculation (GGA-PBE) on a relaxed structure of InGa3N. Values from VASP.

Size of the total moment in Bohr magnetons per cell: 0.0
Density of states at the Fermi level in states/eV per cell: 2.559
Energy relative to the elements, uncorrected in eV per atom: 0.39

```
&SYSTEM
  ibrav = 0, nat = 5, ntyp = 3
/
ATOMIC_SPECIES
Ga 69.72 Ga.upf
In 114.82 In.upf
N 14.01 N.upf
ATOMIC_POSITIONS crystal
Ga 0.500 0.000 0.000
Ga 0.000 0.000 0.500
Ga 0.000 0.500 0.000
In 0.500 0.500 0.500
N 0.000 0.000 0.000
CELL_PARAMETERS angstrom
4.462 0.000 0.000
0.000 4.462 0.000
0.000 0.000 4.462
```

=====

7.
VASP calculation (GGA-PBE) on a relaxed structure of La2ZnBiOs. Values from VASP.

Size of the total moment in Bohr magnetons per cell: 0.0
Density of states at the Fermi level in states/eV per cell: 3.709
Formation energy from the elements in kJ/mol of atoms: -32.84

```
&SYSTEM
  ibrav = 0, nat = 5, ntyp = 4
/
ATOMIC_SPECIES
La 138.91 La.upf
Os 190.23 Os.upf
Zn 65.41 Zn.upf
Bi 208.98 Bi.upf
ATOMIC_POSITIONS crystal
La 0.500 0.000 0.000
Os 0.000 0.000 0.000
Zn 0.000 0.500 0.000
La 0.000 0.000 0.500
Bi 0.500 0.500 0.500
CELL_PARAMETERS angstrom
5.496 0.000 0.000
0.000 4.895 0.000
0.000 0.000 5.496
```

=====

8.
VASP calculation (GGA-PBE) on a relaxed structure of Y2ReNi. Values from VASP.

Size of the total moment in Bohr magnetons per cell: 1.7
Density of states at the Fermi level in states/eV per cell: 7.002
Formation energy from the elements in kJ/mol of atoms: 89.01

```
&SYSTEM
  ibrav = 0, nat = 8, ntyp = 3
/
ATOMIC_SPECIES
Re 186.21 Re.upf
Ni 58.69 Ni.upf
Y 88.91 Y.upf
ATOMIC_POSITIONS crystal
Re 0.750 0.250 0.500
Ni 0.250 0.750 0.500
Y 0.128 0.625 0.250
Re 0.000 0.000 0.000
Y 0.622 0.125 0.250
Ni 0.500 0.500 0.000
Y 0.875 0.872 0.750
Y 0.375 0.378 0.750
CELL_PARAMETERS angstrom
-3.739 -0.175 2.226
-1.432 -3.143 -2.652
1.050 -8.041 5.390
```